PmDyAl6, optimized geometry, DFT PBE; excess energy over the best structure of this formula in the dataset = 0 meV/atom; energy of formation = -438 meV per atom
1.0
4.659 0.000 0.000
0.000 3.171 5.486
0.000 -3.171 5.486
Pm Dy Al
1 1 6
Direct
0.000 0.000 0.000
0.500 0.667 0.667
0.000 0.043 0.479
0.000 0.479 0.043
0.000 0.479 0.479
0.500 0.190 0.190
0.500 0.190 0.620
0.500 0.620 0.190


LaCeSbTe, optimized geometry, DFT PBE; excess energy over the best structure of this formula in the dataset = 193 meV/atom; formation energy (no corrections) = -1.153 eV per atom
1.0
0.000 3.909 3.909
3.909 0.000 3.909
3.909 3.909 0.000
La Ce Sb Te
1 1 1 1
Direct
0.000 0.000 0.000
0.500 0.500 0.500
0.250 0.250 0.250
0.750 0.750 0.750


| no. | total moment (μB/f.u.) |
| --- | --- |
| 1 | 0.00 |
| 2 | 1.84 |